First-principles (PBE) data for a geometry-optimized GdNpPdRu structure, as listed in the Alexandria database.

Unit cell a=4.8810 b=4.8810 c=4.8810 alpha=60.00 beta=60.00 gamma=60.00
Fractional coordinates of all 4 atoms:
Np (0.0000, 0.0000, 0.0000)
Ru (0.2500, 0.2500, 0.2500)
Gd (0.5000, 0.5000, 0.5000)
Pd (0.7500, 0.7500, 0.7500)

Output
- Raw total energy: -10.6142 eV/atom
- SG: F-43m, No. 216
- Total magnetization: 10.47 μB/f.u.
- Crystal system: cubic
- N(E_F): 7.29 states/eV per cell
- Energy of formation from the pure elements: -0.242 eV per atom

---

First-principles (PBE) data for a geometry-optimized GdNpPt2 structure, as listed in the Alexandria database.

Unit cell a=4.9726 b=4.9726 c=4.9726 alpha=60.00 beta=60.00 gamma=60.00
Fractional coordinates of all 4 atoms:
Np (0.0000, 0.0000, 0.0000)
Gd (0.5000, 0.5000, 0.5000)
Pt (0.2500, 0.2500, 0.2500)
Pt (0.7500, 0.7500, 0.7500)

Output
- Raw total energy: -10.5043 eV/atom
- SG: Fm-3m, No. 225
- Total magnetization: 2.89 μB/f.u.
- Crystal system: cubic
- E above lowest polymorph: 0.159 eV/f.u.
- N(E_F): 11.93 states/eV per cell
- Energy of formation from the pure elements: -0.729 eV per atom

---

First-principles (PBE) data for a geometry-optimized GdNpPt2 structure, as listed in the Alexandria database.

Unit cell a=3.0170 b=3.0170 c=10.6022 alpha=81.82 beta=81.82 gamma=60.00
Fractional coordinates of all 4 atoms:
Np (0.5000, 0.5000, 0.5000)
Gd (0.0000, 0.0000, 0.0000)
Pt (0.0873, 0.0873, 0.7382)
Pt (0.9127, 0.9127, 0.2618)

Output
- Raw total energy: -9.8037 eV/atom
- SG: R-3m, No. 166
- Total magnetization: 3.28 μB/f.u.
- Crystal system: trigonal
- E above lowest polymorph: 2.961 eV/f.u.
- N(E_F): 3.63 states/eV per cell
- Energy of formation from the pure elements: -0.028 eV per atom

---

First-principles (PBE) data for a geometry-optimized GdNpPt2 structure, as listed in the Alexandria database.

Unit cell a=3.4539 b=5.0057 c=5.0057 alpha=90.00 beta=90.00 gamma=90.00
Fractional coordinates of all 4 atoms:
Np (0.5000, 0.5000, 0.5000)
Gd (0.5000, 0.0000, 0.0000)
Pt (0.0000, 0.0000, 0.5000)
Pt (0.0000, 0.5000, 0.0000)

Output
- Raw total energy: -10.5440 eV/atom
- SG: P4/mmm, No. 123
- Total magnetization: 11.27 μB/f.u.
- Crystal system: tetragonal
- E above lowest polymorph: 0.000 eV/f.u.
- N(E_F): 8.73 states/eV per cell
- Energy of formation from the pure elements: -0.768 eV per atom

---

First-principles (PBE) data for a geometry-optimized GdNpPtRh structure, as listed in the Alexandria database.

Unit cell a=4.9178 b=4.9178 c=4.9178 alpha=60.00 beta=60.00 gamma=60.00
Fractional coordinates of all 4 atoms:
Np (0.0000, 0.0000, 0.0000)
Gd (0.5000, 0.5000, 0.5000)
Rh (0.2500, 0.2500, 0.2500)
Pt (0.7500, 0.7500, 0.7500)

Output
- Raw total energy: -10.6863 eV/atom
- SG: F-43m, No. 216
- Total magnetization: 2.93 μB/f.u.
- Crystal system: cubic
- N(E_F): 10.21 states/eV per cell
- Energy of formation from the pure elements: -0.583 eV per atom

---

First-principles (PBE) data for a geometry-optimized GdNpRuPt structure, as listed in the Alexandria database.

Unit cell a=4.8884 b=4.8884 c=4.8884 alpha=60.00 beta=60.00 gamma=60.00
Fractional coordinates of all 4 atoms:
Np (0.0000, 0.0000, 0.0000)
Ru (0.2500, 0.2500, 0.2500)
Gd (0.5000, 0.5000, 0.5000)
Pt (0.7500, 0.7500, 0.7500)

Output
- Raw total energy: -10.9861 eV/atom
- SG: F-43m, No. 216
- Total magnetization: 3.62 μB/f.u.
- Crystal system: cubic
- N(E_F): 6.62 states/eV per cell
- Energy of formation from the pure elements: -0.402 eV per atom

---

First-principles (PBE) data for a geometry-optimized GdNpRe4 structure, as listed in the Alexandria database.

Unit cell a=5.4239 b=5.4239 c=5.4239 alpha=60.00 beta=60.00 gamma=60.00
Fractional coordinates of all 6 atoms:
Np (0.2500, 0.2500, 0.2500)
Re (0.6251, 0.6251, 0.1247)
Re (0.6251, 0.1247, 0.6251)
Re (0.6251, 0.6251, 0.6251)
Re (0.1247, 0.6251, 0.6251)
Gd (0.0000, 0.0000, 0.0000)

Output
- Raw total energy: -12.7329 eV/atom
- SG: F-43m, No. 216
- Total magnetization: 2.11 μB/f.u.
- Crystal system: cubic
- N(E_F): 13.41 states/eV per cell
- Energy of formation from the pure elements: 0.069 eV per atom

---

First-principles (PBE) data for a geometry-optimized GdNpRu2 structure, as listed in the Alexandria database.

Unit cell a=3.3170 b=3.3170 c=7.1655 alpha=90.00 beta=90.00 gamma=90.00
Fractional coordinates of all 4 atoms:
Np (0.5000, 0.5000, 0.0000)
Ru (0.0000, 0.0000, 0.7829)
Ru (0.0000, 0.0000, 0.2171)
Gd (0.5000, 0.5000, 0.5000)

Output
- Raw total energy: -11.5911 eV/atom
- SG: P4/mmm, No. 123
- Total magnetization: 9.58 μB/f.u.
- Crystal system: tetragonal
- E above lowest polymorph: 0.000 eV/f.u.
- N(E_F): 4.72 states/eV per cell
- Energy of formation from the pure elements: -0.198 eV per atom

---

First-principles (PBE) data for a geometry-optimized GdNpRu2 structure, as listed in the Alexandria database.

Unit cell a=5.0866 b=5.0866 c=4.6570 alpha=56.90 beta=56.90 gamma=60.00
Fractional coordinates of all 4 atoms:
Np (0.5000, 0.5000, 0.5000)
Ru (0.7221, 0.7221, 0.8337)
Ru (0.2779, 0.2779, 0.1663)
Gd (0.0000, 0.0000, 0.0000)

Output
- Raw total energy: -11.5581 eV/atom
- SG: R-3m, No. 166
- Total magnetization: 9.44 μB/f.u.
- Crystal system: trigonal
- E above lowest polymorph: 0.132 eV/f.u.
- N(E_F): 6.13 states/eV per cell
- Energy of formation from the pure elements: -0.165 eV per atom

---

First-principles (PBE) data for a geometry-optimized GdNpS2 structure, as listed in the Alexandria database.

Unit cell a=4.8517 b=4.8517 c=4.8516 alpha=60.00 beta=60.00 gamma=60.00
Fractional coordinates of all 4 atoms:
Np (0.5000, 0.5000, 0.5000)
S (0.7500, 0.7500, 0.7500)
S (0.2500, 0.2500, 0.2500)
Gd (0.0000, 0.0000, 0.0000)

Output
- Raw total energy: -10.0844 eV/atom
- SG: Fm-3m, No. 225
- Total magnetization: 1.98 μB/f.u.
- Crystal system: cubic
- Formation energy (no corrections): -1.265 eV per atom
- N(E_F): 12.91 states/eV per cell

---

First-principles (PBE) data for a geometry-optimized GdNpSb2 structure, as listed in the Alexandria database.

Unit cell a=5.3611 b=5.3611 c=5.3611 alpha=60.00 beta=60.00 gamma=60.00
Fractional coordinates of all 4 atoms:
Np (0.0000, 0.0000, 0.0000)
Sb (0.2500, 0.2500, 0.2500)
Sb (0.7500, 0.7500, 0.7500)
Gd (0.5000, 0.5000, 0.5000)

Output
- Raw total energy: -9.2713 eV/atom
- SG: Fm-3m, No. 225
- Total magnetization: 2.77 μB/f.u.
- Crystal system: cubic
- Formation energy (no corrections): -0.455 eV per atom
- E above lowest polymorph: 0.274 eV/f.u.
- N(E_F): 13.25 states/eV per cell

---

First-principles (PBE) data for a geometry-optimized GdNpSb2 structure, as listed in the Alexandria database.

Unit cell a=3.9581 b=3.9581 c=6.8751 alpha=90.00 beta=90.00 gamma=90.00
Fractional coordinates of all 4 atoms:
Np (0.5000, 0.5000, 0.0000)
Sb (0.0000, 0.0000, 0.7538)
Sb (0.0000, 0.0000, 0.2462)
Gd (0.5000, 0.5000, 0.5000)

Output
- Raw total energy: -9.3399 eV/atom
- SG: P4/mmm, No. 123
- Total magnetization: 11.73 μB/f.u.
- Crystal system: tetragonal
- Formation energy (no corrections): -0.523 eV per atom
- E above lowest polymorph: 0.000 eV/f.u.
- N(E_F): 10.91 states/eV per cell

---

- Which formula does entry 5 have?
  GdNpPtRh